# 1
Here is a relaxed Nd2Ho12Sc5 crystal from the Alexandria database. Energies are from PBE.

Results
* space-group type: No. 12
* crystal system: monoclinic
* calculated formation energy: 0.134 eV/atom

```
Nd2Ho12Sc5
1.0
8.430 -5.549 0.000
8.430 5.549 0.000
-1.263 0.000 6.133
Nd Ho Sc
2 12 5
Cartesian
8.430 3.197 0.000 Nd
8.430 -3.197 0.000 Nd
4.042 2.371 4.996 Ho
6.125 2.853 2.515 Ho
1.471 0.000 5.786 Ho
9.472 2.853 3.617 Ho
6.529 0.000 4.466 Ho
11.555 2.371 1.136 Ho
4.042 -2.371 4.996 Ho
9.068 0.000 1.667 Ho
6.125 -2.853 2.515 Ho
14.126 0.000 0.347 Ho
9.472 -2.853 3.617 Ho
11.555 -2.371 1.136 Ho
-0.631 0.000 3.066 Sc
3.122 0.000 2.899 Sc
5.739 0.000 1.108 Sc
9.858 0.000 5.025 Sc
12.475 0.000 3.234 Sc
```

=====

# 2
Here is a relaxed Nd2Ho15Sc2 crystal from the Alexandria database. Energies are from PBE.

Results
* space-group type: No. 166
* crystal system: trigonal
* calculated formation energy: 0.280 eV/atom

```
Nd2Ho15Sc2
1.0
5.571 3.216 5.747
-5.571 3.216 5.747
0.000 -6.433 5.747
Nd Ho Sc
2 15 2
Cartesian
0.000 0.000 3.031 Nd
0.000 0.000 14.211 Nd
-2.785 -1.608 5.747 Ho
0.000 -3.276 5.276 Ho
-2.837 1.638 5.276 Ho
-1.635 -2.832 8.621 Ho
-3.271 0.000 8.621 Ho
-2.837 -1.638 11.966 Ho
-2.785 1.608 11.495 Ho
1.635 -2.832 8.621 Ho
0.000 3.216 5.747 Ho
-1.635 2.832 8.621 Ho
2.837 1.638 5.276 Ho
3.271 0.000 8.621 Ho
1.635 2.832 8.621 Ho
2.837 -1.638 11.966 Ho
0.000 3.276 11.966 Ho
0.000 0.000 7.041 Sc
0.000 0.000 10.201 Sc
```

=====

# 3
Here is a relaxed Nd7HoSc3 crystal from the Alexandria database. Energies are from PBE.

Results
* space-group type: No. 71
* crystal system: orthorhombic
* calculated formation energy: 0.235 eV/atom

```
Nd7HoSc3
1.0
-2.926 5.399 5.693
2.926 -5.399 5.693
2.926 5.399 -5.693
Nd Ho Sc
7 1 3
Cartesian
0.000 0.000 0.000 Nd
2.926 -2.023 3.292 Nd
2.926 3.279 0.000 Nd
2.926 2.023 3.292 Nd
0.000 3.375 2.401 Nd
0.000 2.120 5.693 Nd
0.000 7.422 2.401 Nd
2.926 0.000 0.000 Ho
0.000 0.000 3.285 Sc
0.000 5.399 0.000 Sc
0.000 0.000 8.101 Sc
```